PBE-GGA Np6RhS12, optimized geometry; electronic total energy = -8.31 eV/atom; formation energy from raw total energies = -1227 meV per atom; SG = No. 148
1.0
5.895 3.403 3.586
-5.895 3.403 3.586
0.000 -6.806 3.586
Np Rh S
6 1 12
direct
0.121 0.796 0.633
0.204 0.367 0.879
0.367 0.879 0.204
0.633 0.121 0.796
0.796 0.633 0.121
0.879 0.204 0.367
0.500 0.500 0.500
0.069 0.922 0.324
0.078 0.676 0.931
0.193 0.444 0.540
0.324 0.069 0.922
0.444 0.540 0.193
0.460 0.807 0.556
0.540 0.193 0.444
0.556 0.460 0.807
0.676 0.931 0.078
0.807 0.556 0.460
0.922 0.324 0.069
0.931 0.078 0.676